A geometry-optimized LiAgF2 structure. Source: Alexandria via LeMat-Bulk, functional PBE.

Summary:
Uncorrected energy (hartree per atom): -0.1491
SG: No. 122
Formation energy without anion corrections (kJ/mol of atoms): -186

```
data_LiAgF2
_chemical_formula_sum 'Li4 Ag4 F8'
_symmetry_space_group_name_H-M 'P 1'
_symmetry_Int_Tables_number 1
_cell_length_a 5.2180
_cell_length_b 5.2180
_cell_length_c 8.2380
_cell_angle_alpha 90.00
_cell_angle_beta 90.00
_cell_angle_gamma 90.00
loop_
_symmetry_equiv_pos_as_xyz
'x,y,z'
loop_
_atom_site_label
_atom_site_fract_x
_atom_site_fract_y
_atom_site_fract_z
Li1 0.0000 0.0000 0.0000
Li2 0.0000 0.5000 0.2500
Li3 0.5000 0.0000 0.7500
Li4 0.5000 0.5000 0.5000
Ag1 0.0000 0.0000 0.5000
Ag2 0.0000 0.5000 0.7500
Ag3 0.5000 0.0000 0.2500
Ag4 0.5000 0.5000 0.0000
F1 0.1720 0.2500 0.1250
F2 0.2500 0.6720 0.3750
F3 0.2500 0.8280 0.8750
F4 0.3280 0.2500 0.6250
F5 0.6720 0.7500 0.6250
F6 0.7500 0.1720 0.8750
F7 0.7500 0.3280 0.3750
F8 0.8280 0.7500 0.1250
```